Record 1
Na2CoW | Alexandria via LeMat-Bulk | PBE-GGA | optimized geometry; total DFT energy (no corrections) = -4.090 eV/atom; energy relative to the elements = 6.34 eV per formula unit; DOS(E_F) = 1.148 states/eV/atom
1.0
8.280 0.000 0.000
0.000 8.280 0.000
4.140 4.140 2.359
W Na Co
2 4 2
direct
0.000 0.000 0.000
0.750 0.250 0.500
0.875 0.824 0.750
0.176 0.625 0.250
0.574 0.125 0.250
0.375 0.426 0.750
0.500 0.500 0.000
0.250 0.750 0.500

Record 2
Na3YCo | Alexandria via LeMat-Bulk | PBE-GGA | optimized geometry; total DFT energy (no corrections) = -1.861 eV/atom; energy relative to the elements = 8.22 eV per formula unit; DOS(E_F) = 1.210 states/eV/atom
1.0
-5.921 0.293 -2.461
2.460 -0.083 -5.928
-0.302 -6.412 -0.035
Y Na Co
1 3 1
direct
0.000 0.000 0.000
0.500 0.000 0.000
0.000 0.000 0.500
0.000 0.500 0.000
0.500 0.500 0.500

Record 3
NaY3Co | Alexandria via LeMat-Bulk | PBE-GGA | optimized geometry; total DFT energy (no corrections) = -5.544 eV/atom; energy relative to the elements = 0.10 eV per formula unit; DOS(E_F) = 0.526 states/eV/atom
1.0
-2.510 -3.700 2.875
3.802 0.298 3.704
-2.739 3.805 2.505
Co Y Na
1 3 1
direct
0.000 0.000 0.000
0.500 0.000 0.000
0.000 0.000 0.500
0.000 0.500 0.000
0.500 0.500 0.500

Record 4
NaY3Co | Alexandria via LeMat-Bulk | PBE-GGA | optimized geometry; total DFT energy (no corrections) = -4.174 eV/atom; energy relative to the elements = 6.95 eV per formula unit; DOS(E_F) = 1.972 states/eV/atom
1.0
5.439 0.000 0.000
0.000 5.439 0.000
0.000 0.000 5.439
Y Na Co
3 1 1
direct
0.000 0.500 0.000
0.000 0.000 0.500
0.500 0.000 0.000
0.000 0.000 0.000
0.500 0.500 0.500